! AgPt3Se5, relaxed, DFT PBE; values from VASP
&SYSTEM
  ibrav = 0, nat = 9, ntyp = 3
/
ATOMIC_SPECIES
Se 78.96 Se.upf
Pt 195.08 Pt.upf
Ag 107.87 Ag.upf
ATOMIC_POSITIONS crystal
Se 0.6667 0.3333 0.2423
Pt 0.5000 0.5000 0.5000
Se 0.0000 0.0000 0.5000
Se 0.3333 0.6667 0.2423
Ag 0.0000 0.0000 0.0000
Pt 0.5000 0.0000 0.5000
Se 0.3333 0.6667 0.7577
Se 0.6667 0.3333 0.7577
Pt 0.0000 0.5000 0.5000
CELL_PARAMETERS angstrom
-5.4516 -1.7671 2.5919
4.3742 -4.3076 -1.3680
2.5975 0.7420 5.9692
! - Calculated total energy: -4.189 eV/atom
! - Theoretical density: 8.05 Mg/m³
! - Total moment: 0.01 μB/f.u.